A plane-wave DFT calculation with GGA+U was carried out for an optimized crystal structure of Pm2VReO8.

Lattice parameters (Å, degrees): 4.8606 4.8325 6.7566 89.68 89.66 93.13
Last column: magnetic moment on the atom in μB.
Positions (direct):
Pm 0.4408 0.4370 0.7464  0.01
Pm 0.5592 0.5630 0.2536  0.01
V 0.0000 0.0000 0.5000  1.16
Re 0.0000 0.0000 0.0000  0.75
O 0.1352 0.7891 0.2349  0.02
O 0.7264 0.7251 0.9564  -0.02
O 0.7889 0.1368 0.2343  0.02
O 0.8648 0.2109 0.7651  0.02
O 0.2736 0.2749 0.0436  -0.02
O 0.2111 0.8632 0.7657  0.02
O 0.7293 0.7296 0.5411  -0.05
O 0.2707 0.2704 0.4589  -0.05

Results
For the total energy, the calculation gives -8.105 eV/atom. The calculation puts the calculated volume at 158 Å³/cell. Its space-group type is No. 2. The calculated density is 6.87 g/cm³. The value obtained for the density of states at the Fermi level is 0.0207 states/eV per atom.